Ba2ScMn2O6 | PBE with a Hubbard U | relaxed

Output
magnetic moment	3.0	μB/cell
uncorrected energy	-75.736	eV/cell

a = 6.470 Å, b = 6.470 Å, c = 6.470 Å
α = 54.76°, β = 54.76°, γ = 54.76°
Positions (direct):
Ba 0.225 0.225 0.225
Ba 0.775 0.775 0.775
Sc 0.000 0.000 0.000
Mn 0.439 0.439 0.439
Mn 0.561 0.561 0.561
O 0.241 0.241 0.756
O 0.241 0.756 0.241
O 0.244 0.759 0.759
O 0.756 0.241 0.241
O 0.759 0.244 0.759
O 0.759 0.759 0.244